A plane-wave DFT calculation with PBE was carried out for Sr6Zn2Pt after structural relaxation.

extended XYZ file:
```
18
Lattice="7.481 0.000 -0.093 0.000 8.524 0.000 0.224 0.000 11.209" Properties=species:S:1:pos:R:3 pbc="T T T"
Sr 1.476 2.783 10.482
Sr 2.760 6.921 10.453
Zn 4.214 7.529 2.743
Pt 3.741 4.262 -0.046
Sr 4.946 1.603 0.664
Sr 6.590 8.215 8.297
Zn 0.585 5.256 8.394
Sr 5.105 1.478 4.831
Zn 7.120 3.268 2.723
Sr 6.388 5.865 4.802
Sr 6.229 5.740 0.635
Sr 1.115 0.308 2.820
Pt 0.112 0.000 5.605
Zn 3.492 0.994 8.374
Sr 2.601 7.045 6.285
Sr 1.318 2.659 6.315
Sr 2.737 4.570 2.739
Sr 4.968 3.954 8.378
```

Calculated values
total energy	-2.38	eV/atom
DOS(E_F)	14.70	states/eV/cell
E_form	-0.307	eV per atom
space group	P2_1/c